(1)
A geometry-optimized ZrZn2TcRh structure, computed with GGA-PBE.

Cell: 5.031 5.031 4.696 Å, 90.00 90.00 90.00°
Element x y z (fractional)
Zr 0.000 0.000 0.000
Zn 0.000 0.500 0.000
Zn 0.500 0.000 0.000
Tc 0.500 0.500 0.500
Rh 0.000 0.000 0.500

Values from the calculation:
Energy = -4.295 eV per atom
DFT formation energy = 1.4677 eV per atom
Space-group type = P4/mmm (123)


(2)
A geometry-optimized Zr6TcRh3 structure, computed with GGA-PBE.

Cell: 8.158 4.757 10.037 Å, 90.00 106.31 90.00°
Element x y z (fractional)
Zr 0.039 0.250 0.401
Zr 0.143 0.750 0.193
Zr 0.256 0.250 0.996
Zr 0.348 0.750 0.808
Zr 0.349 0.250 0.303
Zr 0.439 0.250 0.607
Zr 0.561 0.750 0.393
Zr 0.651 0.750 0.697
Zr 0.652 0.250 0.192
Zr 0.744 0.750 0.004
Zr 0.857 0.250 0.807
Zr 0.961 0.750 0.599
Tc 0.450 0.750 0.102
Tc 0.550 0.250 0.898
Rh 0.050 0.750 0.897
Rh 0.145 0.250 0.699
Rh 0.246 0.750 0.493
Rh 0.754 0.250 0.507
Rh 0.855 0.750 0.301
Rh 0.950 0.250 0.103

Values from the calculation:
Energy = -8.890 eV per atom
DFT formation energy = -0.5189 eV per atom
Space-group type = P2_1/m (11)